1.
Below is an optimized crystal structure of VGaBr, with properties calculated at the PBE level.

Unit cell a=3.0833 b=5.0157 c=9.0621 alpha=105.67 beta=94.37 gamma=99.85
With the nearest neighbours (Å) after each atom.
Space group P-1 (No. 2)
Asymmetric unit:
V 0.0881 0.4011 0.0985 x2  1 V 2.34, 2 Br 2.57-2.58
Ga 0.4641 0.0604 0.8728 x2  1 Ga 2.54, 4 V 2.68-2.76, 1 Br 2.69
Br 0.2914 0.3523 0.6742 x2  2 V 2.57-2.58, 1 Ga 2.69

Output
- E_form (uncorrected) (meV/atom) = -167
- energy above the most stable polymorph in this dataset (eV per atom) = 0.056

2.
Below is an optimized crystal structure of VGaBr, with properties calculated at the PBE level.

Unit cell a=3.5364 b=3.5849 c=11.3510 alpha=82.89 beta=81.34 gamma=89.99
With the nearest neighbours (Å) after each atom.
Space group P1 (No. 1)
Asymmetric unit:
V 0.0000 0.0000 0.0000 x1  5 Ga 2.52-2.53, 2 V 2.54
V 0.4212 0.9397 0.1641 x1  2 Br 2.50, 2 V 2.54, 2 Ga 2.68-2.70
Ga 0.1043 0.8981 0.7814 x1  1 V 2.52, 2 Br 2.58-2.59
Ga 0.5078 0.5073 0.9841 x1  6 V 2.52-2.70
Br 0.3478 0.3785 0.3208 x1  2 V 2.50
Br 0.6788 0.7340 0.6283 x1  2 Ga 2.58-2.59

Output
- E_form (uncorrected) (meV/atom) = -128
- energy above the most stable polymorph in this dataset (eV per atom) = 0.095

3.
Below is an optimized crystal structure of VGaBr, with properties calculated at the PBE level.

Unit cell a=3.3322 b=4.0536 c=19.4672 alpha=90.00 beta=90.00 gamma=90.00
With the nearest neighbours (Å) after each atom.
Space group Imm2 (No. 44)
Asymmetric unit:
V 0.0000 0.0000 0.0000 x2  1 Br 2.42, 4 Ga 2.64
V 0.0000 0.5000 0.3863 x2  2 Br 2.58, 4 Ga 2.65, 2 V 2.77
Ga 0.0000 0.0000 0.5134 x2  4 V 2.64, 2 Ga 2.67
Ga 0.0000 0.5000 0.9065 x2  6 V 2.65-2.72, 2 Ga 2.67
Br 0.0000 0.0000 0.1244 x2  1 V 2.42
Br 0.0000 0.0000 0.7855 x2  2 V 2.58

Output
- E_form (uncorrected) (meV/atom) = -216
- energy above the most stable polymorph in this dataset (eV per atom) = 0.008

4.
Below is an optimized crystal structure of GaWBr3, with properties calculated at the PBE level.

Unit cell a=5.2589 b=5.2589 c=5.2589 alpha=90.00 beta=90.00 gamma=90.00
With the nearest neighbours (Å) after each atom.
Space group Pm-3m (No. 221)
Asymmetric unit:
Ga 0.0000 0.0000 0.0000 x1  6 Br 2.63
W 0.5000 0.5000 0.5000 x1  12 Br 3.72
Br 0.0000 0.0000 0.5000 x3  2 Ga 2.63

Output
- E_form (uncorrected) (meV/atom) = 940
- energy above the most stable polymorph in this dataset (eV per atom) = 0.686

5.
Below is an optimized crystal structure of GaWBr2, with properties calculated at the PBE level.

Unit cell a=3.2257 b=3.2257 c=32.6800 alpha=90.00 beta=90.00 gamma=120.00
With the nearest neighbours (Å) after each atom.
Space group R-3m (No. 166, hexagonal axes)
Asymmetric unit:
Ga 0.0000 0.0000 0.0000 x3  6 Ga 3.23, 2 Br 3.58
W 0.0000 0.0000 0.5000 x3  6 Br 2.64
Br 0.0000 0.0000 0.1094 x6  3 W 2.64

Output
- E_form (uncorrected) (meV/atom) = 380
- energy above the most stable polymorph in this dataset (eV per atom) = 0.000

6.
Below is an optimized crystal structure of GaW2Br, with properties calculated at the PBE level.

Unit cell a=4.0060 b=4.0060 c=19.0066 alpha=90.00 beta=90.00 gamma=90.00
With the nearest neighbours (Å) after each atom.
Space group I-42d (No. 122)
Asymmetric unit:
Ga 0.0000 0.0000 0.0000 x4  4 W 2.70, 4 Br 2.83
W 0.2015 0.2500 0.1250 x8  2 W 2.57, 2 Ga 2.70, 2 Br 2.84
Br 0.0000 0.0000 0.5000 x4  4 Ga 2.83, 4 W 2.84

Output
- E_form (uncorrected) (meV/atom) = 1070
- energy above the most stable polymorph in this dataset (eV per atom) = 0.000

Question: Which value of E_form (uncorrected) does entry 2 give?
Answer: -128 meV/atom

Question: The lowest E_form (uncorrected) belongs to which entry?
Answer: number 3

Question: Among the records above, which one has the highest energy above the most stable polymorph in this dataset?
Answer: GaWBr3